(1)
Compound: DyY2Fe8Ni
Source: OQMD via LeMat-Bulk
Functional: PBE
Structure: relaxed

The structure in POSCAR format:
```
DyY2Fe8Ni
1.0
2.533 1.462 8.145
-2.533 1.462 8.145
0.000 -2.925 8.145
Dy Y Fe Ni
1 2 8 1
Direct
0.000 0.000 0.000 Dy
0.142 0.142 0.142 Y
0.858 0.858 0.858 Y
0.080 0.582 0.582 Fe
0.333 0.333 0.333 Fe
0.418 0.418 0.920 Fe
0.418 0.920 0.418 Fe
0.582 0.080 0.582 Fe
0.582 0.582 0.080 Fe
0.667 0.667 0.667 Fe
0.920 0.418 0.418 Fe
0.500 0.500 0.500 Ni
```

ΔE_f	-0.102	eV per atom
V	15.1	A^3/atom
space group	R-3m

(2)
Compound: DyY2Fe2Ni7
Source: OQMD via LeMat-Bulk
Functional: PBE
Structure: relaxed

The structure in POSCAR format:
```
DyY2Fe2Ni7
1.0
2.502 1.445 8.084
-2.502 1.445 8.084
0.000 -2.889 8.084
Dy Y Fe Ni
1 2 2 7
Direct
0.000 0.000 0.000 Dy
0.139 0.139 0.139 Y
0.861 0.861 0.861 Y
0.333 0.333 0.333 Fe
0.667 0.667 0.667 Fe
0.082 0.581 0.581 Ni
0.419 0.419 0.918 Ni
0.419 0.918 0.419 Ni
0.500 0.500 0.500 Ni
0.581 0.082 0.581 Ni
0.581 0.581 0.082 Ni
0.918 0.419 0.419 Ni
```

ΔE_f	-0.337	eV per atom
V	14.6	A^3/atom
space group	R-3m

(3)
Compound: Dy2YFe6Ni3
Source: OQMD via LeMat-Bulk
Functional: PBE
Structure: relaxed

The structure in POSCAR format:
```
Dy2YFe6Ni3
1.0
2.494 1.440 8.270
-2.494 1.440 8.270
0.000 -2.880 8.270
Dy Y Fe Ni
2 1 6 3
Direct
0.142 0.142 0.142 Dy
0.858 0.858 0.858 Dy
0.000 0.000 0.000 Y
0.081 0.582 0.582 Fe
0.418 0.418 0.919 Fe
0.418 0.919 0.418 Fe
0.582 0.081 0.582 Fe
0.582 0.582 0.081 Fe
0.919 0.418 0.418 Fe
0.333 0.333 0.333 Ni
0.500 0.500 0.500 Ni
0.667 0.667 0.667 Ni
```

ΔE_f	-0.150	eV per atom
V	14.9	A^3/atom
space group	R-3m

> Among the records above, which one has the highest V?

DyY2Fe8Ni